Record 1
DFT (PBE) results for AcTbSm4Ho2 after structural relaxation.

Lattice parameters (Å, degrees): 5.9806 5.9958 7.6322 90.00 90.00 90.00
Sites, in units of the cell vectors:
Ac: 0.0000 0.0000 0.0000
Tb: 0.5000 0.5000 0.5000
Sm: 0.0000 0.5000 0.2662
Sm: 0.0000 0.5000 0.7338
Sm: 0.5000 0.0000 0.2671
Sm: 0.5000 0.0000 0.7329
Ho: 0.0000 0.0000 0.5000
Ho: 0.5000 0.5000 0.0000

Properties
The calculation puts the total moment at 0.0000 μB/atom. The calculation puts the raw total energy at -4.46 eV per atom.


Record 2
DFT (PBE) results for KFePt2 after structural relaxation.

Lattice parameters (Å, degrees): 4.1952 4.1952 8.2211 90.00 90.00 90.00
Sites, in units of the cell vectors:
K: 0.0000 0.0000 0.0000
K: 0.5000 0.5000 0.5000
Fe: 0.0000 0.5000 0.2500
Fe: 0.5000 0.0000 0.7500
Pt: 0.0000 0.0000 0.5000
Pt: 0.0000 0.5000 0.7500
Pt: 0.5000 0.0000 0.2500
Pt: 0.5000 0.5000 0.0000

Properties
The calculation puts the total moment at 0.9504 μB/atom. The calculation puts the raw total energy at -4.79 eV per atom. The offset from the most stable computed form is 617 meV per atom.


Record 3
DFT (PBE) results for La2CeSmSe4 after structural relaxation.

Lattice parameters (Å, degrees): 7.3655 4.2359 7.3840 90.00 109.29 90.00
Sites, in units of the cell vectors:
La: 0.0000 0.0000 0.0000
La: 0.5000 0.5000 0.0000
Ce: 0.0000 0.5000 0.5000
Sm: 0.5000 0.0000 0.5000
Se: 0.2486 0.0000 0.7418
Se: 0.2543 0.5000 0.2592
Se: 0.7457 0.5000 0.7408
Se: 0.7514 0.0000 0.2582

Properties
The calculation puts the total moment at 0.1261 μB/atom. The calculation puts the raw total energy at -6.22 eV per atom.


Record 4
DFT (PBE) results for LiPd5O6 after structural relaxation.

Lattice parameters (Å, degrees): 5.3736 5.3736 5.9463 104.82 104.82 111.97
Sites, in units of the cell vectors:
Li: 0.0000 0.0000 0.0000
Pd: 0.0000 0.0000 0.5000
Pd: 0.3353 0.6647 0.0000
Pd: 0.3348 0.6652 0.5000
Pd: 0.6647 0.3353 0.0000
Pd: 0.6652 0.3348 0.5000
O: 0.0501 0.7126 0.2258
O: 0.2874 0.9499 0.7742
O: 0.3742 0.3742 0.2283
O: 0.6258 0.6258 0.7717
O: 0.7126 0.0501 0.2258
O: 0.9499 0.2874 0.7742

Properties
The calculation puts the total moment at 0.0000 μB/atom. The calculation puts the raw total energy at -5.25 eV per atom.


Record 5
DFT (PBE) results for La3ReAs after structural relaxation.

Lattice parameters (Å, degrees): 5.4485 5.4485 5.4485 90.00 90.00 90.00
Sites, in units of the cell vectors:
La: 0.0000 0.0000 0.5000
La: 0.0000 0.5000 0.0000
La: 0.5000 0.0000 0.0000
Re: 0.0000 0.0000 0.0000
As: 0.5000 0.5000 0.5000

Properties
The calculation puts the total moment at 0.0000 μB/atom. The calculation puts the raw total energy at -6.47 eV per atom. The offset from the most stable computed form is 0 meV per atom.


Record 6
DFT (PBE) results for GeHSeO after structural relaxation.

Lattice parameters (Å, degrees): 3.8118 3.8121 6.1586 73.69 73.39 77.96
Sites, in units of the cell vectors:
Ge: 0.0000 0.0000 0.0000
H: 0.2440 0.2430 0.5992
Se: 0.5482 0.5496 0.1342
O: 0.0702 0.0672 0.6892

Properties
The calculation puts the total moment at 0.0000 μB/atom. The calculation puts the raw total energy at -4.77 eV per atom. The offset from the most stable computed form is 3 meV per atom.


Record 7
DFT (PBE) results for MgNb2Rh6 after structural relaxation.

Lattice parameters (Å, degrees): 7.2462 7.2462 4.2624 107.09 107.09 48.65
Sites, in units of the cell vectors:
Mg: 0.0000 0.0000 0.0000
Nb: 0.3386 0.3386 0.3372
Nb: 0.6614 0.6614 0.6628
Rh: 0.0820 0.5801 0.8301
Rh: 0.2443 0.7557 0.5000
Rh: 0.4199 0.9180 0.1699
Rh: 0.5801 0.0820 0.8301
Rh: 0.7557 0.2443 0.5000
Rh: 0.9180 0.4199 0.1699

Properties
The calculation puts the total moment at 0.0000 μB/atom. The calculation puts the raw total energy at -7.32 eV per atom.


Record 8
DFT (PBE) results for Co2WCl after structural relaxation.

Lattice parameters (Å, degrees): 3.8990 3.8990 7.0480 90.00 90.00 90.00
Sites, in units of the cell vectors:
Co: 0.0000 0.5000 0.2500
Co: 0.0000 0.5000 0.7500
Co: 0.5000 0.0000 0.2500
Co: 0.5000 0.0000 0.7500
W: 0.0000 0.0000 0.0000
W: 0.5000 0.5000 0.5000
Cl: 0.0000 0.0000 0.5000
Cl: 0.5000 0.5000 0.0000

Properties
The calculation puts the total moment at 0.0002 μB/atom. The calculation puts the raw total energy at -6.24 eV per atom. The offset from the most stable computed form is 734 meV per atom.


> Which formula does entry 1 have?

AcTbSm4Ho2